(1)
Compound: Li5HgPd6
Source: the Alexandria database
Functional: PBE
Structure: relaxed

Its final energy is -3.8122 eV/atom. The space-group type is Immm (71). Its density of states at the Fermi level is 3.25 states/eV/f.u.

Geometry as extended XYZ:
```
12
Lattice="-2.146 3.172 6.359 2.146 -3.172 6.359 2.146 3.172 -6.359" Properties=species:S:1:pos:R:3 pbc="T T T"
Li 0.000 0.000 0.000
Li 2.146 0.000 2.205
Li 0.000 0.000 4.366
Li 0.000 0.000 8.352
Li 0.000 3.172 4.154
Hg 0.000 3.172 0.000
Pd 2.146 -1.699 4.167
Pd 2.146 1.407 0.000
Pd 0.000 1.473 2.191
Pd 2.146 1.699 4.167
Pd 0.000 1.765 6.359
Pd 0.000 4.870 2.191
```

=====

(2)
Compound: Zr8Al2Ni
Source: the Alexandria database
Functional: PBE
Structure: relaxed

Its final energy is -7.6250 eV/atom. The space-group type is P4/mmm (123). Its density of states at the Fermi level is 13.36 states/eV/f.u.

Geometry as extended XYZ:
```
11
Lattice="4.362 0.000 0.000 0.000 4.362 0.000 0.000 0.000 12.190" Properties=species:S:1:pos:R:3 pbc="T T T"
Zr 0.000 0.000 2.229
Zr 0.000 0.000 9.961
Zr 0.000 2.181 0.000
Zr 0.000 2.181 4.426
Zr 0.000 2.181 7.764
Zr 2.181 0.000 0.000
Zr 2.181 0.000 4.426
Zr 2.181 0.000 7.764
Al 2.181 2.181 2.252
Al 2.181 2.181 9.938
Ni 2.181 2.181 6.095
```

=====

(3)
Compound: Zr2ReIr
Source: the Alexandria database
Functional: PBE
Structure: relaxed

Its final energy is -9.4641 eV/atom. The space-group type is R3m (160). Its density of states at the Fermi level is 8.72 states/eV/f.u.

Geometry as extended XYZ:
```
4
Lattice="1.444 0.834 10.114 -1.444 0.834 10.114 0.000 -1.668 10.114" Properties=species:S:1:pos:R:3 pbc="T T T"
Zr 0.000 0.000 0.000
Zr 0.000 0.000 7.143
Re 0.000 0.000 22.807
Ir 0.000 0.000 14.773
```

=====

(4)
Compound: Al2TcOs
Source: the Alexandria database
Functional: PBE
Structure: relaxed

The space-group type is P4mm (99). Its density of states at the Fermi level is 3.52 states/eV/f.u. Its offset from the most stable computed form is 158 meV per atom.

Geometry as extended XYZ:
```
4
Lattice="2.836 0.000 0.000 0.000 2.836 0.000 0.000 0.000 7.549" Properties=species:S:1:pos:R:3 pbc="T T T"
Al 0.000 0.000 0.000
Al 1.418 1.418 2.283
Tc 1.418 1.418 5.734
Os 0.000 0.000 4.042
```

=====

(5)
Compound: HgH2Rh2
Source: the Alexandria database
Functional: PBE
Structure: relaxed

Its final energy is -4.3153 eV/atom. The space-group type is I4/mmm (139). Its density of states at the Fermi level is 4.87 states/eV/f.u.

Geometry as extended XYZ:
```
5
Lattice="-1.585 1.585 5.497 1.585 -1.585 5.497 1.585 1.585 -5.497" Properties=species:S:1:pos:R:3 pbc="T T T"
Hg 0.000 0.000 0.000
H 1.585 0.000 2.749
H 0.000 1.585 2.749
Rh 0.000 0.000 3.730
Rh 0.000 0.000 7.264
```

=====

(6)
Compound: SbMo3N
Source: the Alexandria database
Functional: PBE
Structure: relaxed

The space-group type is Pm-3m (221). Its density of states at the Fermi level is 4.72 states/eV/f.u. Its offset from the most stable computed form is 3220 meV per atom.

Geometry as extended XYZ:
```
5
Lattice="4.898 0.000 0.000 0.000 4.898 0.000 0.000 0.000 4.898" Properties=species:S:1:pos:R:3 pbc="T T T"
Sb 0.000 0.000 0.000
Mo 0.000 0.000 2.449
Mo 0.000 2.449 0.000
Mo 2.449 0.000 0.000
N 2.449 2.449 2.449
```

=====

Copy entry 5 word for word.
Compound: HgH2Rh2
Source: the Alexandria database
Functional: PBE
Structure: relaxed

Its final energy is -4.3153 eV/atom. The space-group type is I4/mmm (139). Its density of states at the Fermi level is 4.87 states/eV/f.u.

Geometry as extended XYZ:
```
5
Lattice="-1.585 1.585 5.497 1.585 -1.585 5.497 1.585 1.585 -5.497" Properties=species:S:1:pos:R:3 pbc="T T T"
Hg 0.000 0.000 0.000
H 1.585 0.000 2.749
H 0.000 1.585 2.749
Rh 0.000 0.000 3.730
Rh 0.000 0.000 7.264
```

=====

Question: Number 3 is which compound?
Answer: Zr2ReIr